Compound: Co6Ni2Rh
Source: Alexandria
Functional: GGA-PBE
Structure: optimized geometry

Its crystal system is orthorhombic. The total moment is 1.42 μB per atom. Its distance to the lowest polymorph of the same formula is 146 meV per atom. The formation energy comes out at 223.6 meV/atom.

The structure belongs to space group Immm (No. 71); the cell edges are 4.039, 4.767 and 11.268 Å and the angles 90.00°, 90.00° and 90.00°. The asymmetric unit holds Co at (0.000, 0.000, 0.216), Co at (0.000, 0.263, 0.392), Ni at (0.000, 0.500, 0.148) and Rh at (0.000, 0.000, 0.000).